Computed, not measured: a relaxed LiAlGeS4 crystal at the PBE-GGA level of DFT.

The value obtained for the uncorrected energy is -64.917 eV for the cell shown. The formation energy without anion corrections is -0.811 eV/atom. Its symmetry is Cmcm (63).

Geometry as CIF:
```
data_LiAlGeS4
_symmetry_space_group_name_H-M 'P 1'
_symmetry_Int_Tables_number 1
_cell_length_a 6.663
_cell_length_b 6.663
_cell_length_c 7.177
_cell_angle_alpha 90.00
_cell_angle_beta 90.00
_cell_angle_gamma 113.08
loop_
_symmetry_equiv_pos_as_xyz
'x,y,z'
loop_
_atom_site_label
_atom_site_fract_x
_atom_site_fract_y
_atom_site_fract_z
_atom_site_occupancy
S1 0.740 0.260 0.502 1
S2 0.232 0.227 0.250 1
Li1 0.500 0.500 0.500 1
S3 0.773 0.768 0.250 1
Li2 0.500 0.500 0.000 1
S4 0.227 0.232 0.750 1
Ge1 0.139 0.861 0.250 1
Al1 0.864 0.136 0.250 1
S5 0.260 0.740 0.498 1
Ge2 0.861 0.139 0.750 1
S6 0.768 0.773 0.750 1
S7 0.260 0.740 0.002 1
S8 0.740 0.260 0.998 1
Al2 0.136 0.864 0.750 1
```

---

Computed, not measured: a relaxed YMoN3 crystal at the PBE-GGA level of DFT.

The value obtained for the uncorrected energy is -90.788 eV for the cell shown. The formation energy without anion corrections is -0.625 eV/atom. Its symmetry is P1 (1).

Geometry as CIF:
```
data_YMoN3
_symmetry_space_group_name_H-M 'P 1'
_symmetry_Int_Tables_number 1
_cell_length_a 6.125
_cell_length_b 6.563
_cell_length_c 3.575
_cell_angle_alpha 93.93
_cell_angle_beta 87.88
_cell_angle_gamma 69.00
loop_
_symmetry_equiv_pos_as_xyz
'x,y,z'
loop_
_atom_site_label
_atom_site_fract_x
_atom_site_fract_y
_atom_site_fract_z
_atom_site_occupancy
Mo1 0.055 0.032 0.651 1
N1 0.292 0.132 0.724 1
N2 0.321 0.469 0.320 1
N3 0.608 0.698 0.928 1
Y1 0.568 0.072 0.210 1
N4 0.719 0.782 0.664 1
N5 0.008 0.915 0.111 1
Y2 0.073 0.524 0.843 1
Mo2 0.575 0.560 0.402 1
N6 0.796 0.293 0.546 1
```

---

Computed, not measured: a relaxed Sc3Sn2Ir crystal at the PBE-GGA level of DFT.

The value obtained for the uncorrected energy is -160.671 eV for the cell shown. Its symmetry is Pnma (62). The formation energy is -0.718 eV/atom.

Geometry as CIF:
```
data_Sc3Sn2Ir
_symmetry_space_group_name_H-M 'P 1'
_symmetry_Int_Tables_number 1
_cell_length_a 4.465
_cell_length_b 10.050
_cell_length_c 11.675
_cell_angle_alpha 90.00
_cell_angle_beta 90.00
_cell_angle_gamma 90.00
loop_
_symmetry_equiv_pos_as_xyz
'x,y,z'
loop_
_atom_site_label
_atom_site_fract_x
_atom_site_fract_y
_atom_site_fract_z
_atom_site_occupancy
Ir1 0.250 0.394 0.622 1
Sc1 0.250 0.355 0.053 1
Sc2 0.750 0.855 0.447 1
Ir2 0.750 0.606 0.378 1
Sc3 0.750 0.582 0.656 1
Sc4 0.250 0.082 0.844 1
Sn1 0.750 0.340 0.491 1
Sc5 0.250 0.145 0.553 1
Sc6 0.750 0.918 0.156 1
Sc7 0.250 0.805 0.745 1
Sn2 0.250 0.840 0.009 1
Sc8 0.750 0.305 0.755 1
Sc9 0.250 0.695 0.245 1
Ir3 0.750 0.894 0.878 1
Sc10 0.750 0.195 0.255 1
Sc11 0.750 0.645 0.947 1
Sc12 0.250 0.418 0.344 1
Sn3 0.750 0.160 0.991 1
Ir4 0.250 0.106 0.122 1
Sn4 0.750 0.493 0.168 1
Sn5 0.250 0.660 0.509 1
Sn6 0.250 0.507 0.832 1
Sn7 0.750 0.007 0.668 1
Sn8 0.250 0.993 0.332 1
```

---

Computed, not measured: a relaxed K2Rb12Hg5 crystal at the PBE-GGA level of DFT.

The value obtained for the uncorrected energy is -17.437 eV for the cell shown. Its symmetry is C2/m (12). The formation energy is -0.112 eV/atom.

Geometry as CIF:
```
data_K2Rb12Hg5
_symmetry_space_group_name_H-M 'P 1'
_symmetry_Int_Tables_number 1
_cell_length_a 10.617
_cell_length_b 10.617
_cell_length_c 11.902
_cell_angle_alpha 72.01
_cell_angle_beta 72.01
_cell_angle_gamma 80.41
loop_
_symmetry_equiv_pos_as_xyz
'x,y,z'
loop_
_atom_site_label
_atom_site_fract_x
_atom_site_fract_y
_atom_site_fract_z
_atom_site_occupancy
Hg1 0.624 0.624 0.814 1
Rb1 0.014 0.341 0.206 1
Rb2 0.368 0.368 0.845 1
Rb3 0.341 0.014 0.206 1
Hg2 0.793 0.793 0.566 1
Hg3 0.000 0.000 0.500 1
Hg4 0.376 0.376 0.186 1
Rb4 0.632 0.632 0.155 1
Rb5 0.101 0.101 0.768 1
Rb6 0.899 0.899 0.232 1
Rb7 0.986 0.659 0.794 1
K1 0.707 0.293 0.000 1
Rb8 0.659 0.986 0.794 1
Rb9 0.204 0.563 0.429 1
Hg5 0.207 0.207 0.434 1
Rb10 0.796 0.437 0.571 1
Rb11 0.563 0.204 0.429 1
K2 0.293 0.707 0.000 1
Rb12 0.437 0.796 0.571 1
```

---

Computed, not measured: a relaxed Li7PrAu4 crystal at the PBE-GGA level of DFT.

The value obtained for the uncorrected energy is -34.651 eV for the cell shown. Its symmetry is C2/m (12). The formation energy is -0.280 eV/atom.

Geometry as CIF:
```
data_Li7PrAu4
_symmetry_space_group_name_H-M 'P 1'
_symmetry_Int_Tables_number 1
_cell_length_a 4.828
_cell_length_b 7.387
_cell_length_c 7.069
_cell_angle_alpha 73.77
_cell_angle_beta 70.03
_cell_angle_gamma 70.93
loop_
_symmetry_equiv_pos_as_xyz
'x,y,z'
loop_
_atom_site_label
_atom_site_fract_x
_atom_site_fract_y
_atom_site_fract_z
_atom_site_occupancy
Au1 0.305 0.342 0.048 1
Li1 0.940 0.416 0.704 1
Li2 0.322 0.622 0.735 1
Li3 0.678 0.378 0.265 1
Au2 0.695 0.658 0.952 1
Pr1 0.000 0.000 0.000 1
Li4 0.500 0.000 0.000 1
Li5 0.060 0.584 0.296 1
Au3 0.561 0.224 0.654 1
Li6 0.219 0.129 0.433 1
Au4 0.439 0.776 0.346 1
Li7 0.781 0.871 0.567 1
```

---

Computed, not measured: a relaxed SbPt2F crystal at the PBE-GGA level of DFT.

The value obtained for the uncorrected energy is -39.009 eV for the cell shown. The formation energy without anion corrections is -0.357 eV/atom. For the polymorph energy (0 for the lowest one), the calculation gives 0.190 eV per formula unit. Its symmetry is I-42d (122).

Geometry as CIF:
```
data_SbPt2F
_symmetry_space_group_name_H-M 'P 1'
_symmetry_Int_Tables_number 1
_cell_length_a 7.014
_cell_length_b 7.014
_cell_length_c 5.676
_cell_angle_alpha 51.84
_cell_angle_beta 51.84
_cell_angle_gamma 90.00
loop_
_symmetry_equiv_pos_as_xyz
'x,y,z'
loop_
_atom_site_label
_atom_site_fract_x
_atom_site_fract_y
_atom_site_fract_z
_atom_site_occupancy
F1 0.500 0.500 0.000 1
Sb1 0.000 0.000 0.000 1
F2 0.250 0.750 0.500 1
Pt1 0.375 0.383 0.750 1
Pt2 0.875 0.867 0.750 1
Sb2 0.750 0.250 0.500 1
Pt3 0.617 0.125 0.250 1
Pt4 0.133 0.625 0.250 1
```

---

Computed, not measured: a relaxed BaCN3 crystal at the PBE-GGA level of DFT.

The value obtained for the uncorrected energy is -71.727 eV for the cell shown. The formation energy without anion corrections is 0.052 eV/atom. Its symmetry is C2/m (12).

Geometry as CIF:
```
data_BaCN3
_symmetry_space_group_name_H-M 'P 1'
_symmetry_Int_Tables_number 1
_cell_length_a 4.674
_cell_length_b 5.141
_cell_length_c 9.573
_cell_angle_alpha 88.81
_cell_angle_beta 90.00
_cell_angle_gamma 117.04
loop_
_symmetry_equiv_pos_as_xyz
'x,y,z'
loop_
_atom_site_label
_atom_site_fract_x
_atom_site_fract_y
_atom_site_fract_z
_atom_site_occupancy
N1 0.665 0.331 0.453 1
Ba1 0.185 0.371 0.824 1
N2 0.341 0.682 0.428 1
N3 0.335 0.669 0.547 1
Ba2 0.815 0.629 0.176 1
N4 0.390 0.779 0.031 1
N5 0.610 0.221 0.969 1
N6 0.659 0.318 0.572 1
C1 0.527 0.054 0.100 1
C2 0.473 0.946 0.900 1
```

---

Computed, not measured: a relaxed Cr2RuSN crystal at the PBE-GGA level of DFT.

The value obtained for the uncorrected energy is -40.120 eV for the cell shown. The formation energy without anion corrections is 0.171 eV/atom. Its symmetry is P4/mmm (123).

Geometry as CIF:
```
data_Cr2RuSN
_symmetry_space_group_name_H-M 'P 1'
_symmetry_Int_Tables_number 1
_cell_length_a 3.862
_cell_length_b 4.061
_cell_length_c 3.862
_cell_angle_alpha 90.00
_cell_angle_beta 90.00
_cell_angle_gamma 90.00
loop_
_symmetry_equiv_pos_as_xyz
'x,y,z'
loop_
_atom_site_label
_atom_site_fract_x
_atom_site_fract_y
_atom_site_fract_z
_atom_site_occupancy
Cr1 0.000 0.000 0.500 1
N1 0.000 0.000 0.000 1
S1 0.500 0.500 0.500 1
Ru1 0.000 0.500 0.000 1
Cr2 0.500 0.000 0.000 1
```